(1)
! CsGe12Au4 (PBE, optimized geometry); values from VASP
! ΔH_f (0 K) in eV/atom: -0.004
&SYSTEM
  ibrav = 0, nat = 17, ntyp = 3
/
ATOMIC_SPECIES
Ge 72.64 Ge.upf
Au 196.97 Au.upf
Cs 132.91 Cs.upf
CELL_PARAMETERS angstrom
7.3520 -0.0002 -2.5998
-3.6762 6.3668 -2.5997
-0.0002 -0.0002 7.7989
ATOMIC_POSITIONS crystal
Ge 0.3616 0.5084 0.1469
Ge 0.8532 0.3616 0.2146
Ge 0.8531 0.6385 0.4916
Ge 0.2147 0.8531 0.3616
Ge 0.5084 0.1469 0.3615
Ge 0.1469 0.3615 0.5084
Ge 0.6384 0.4916 0.8531
Ge 0.1468 0.6384 0.7854
Ge 0.6385 0.7853 0.1469
Ge 0.4916 0.8531 0.6385
Ge 0.7853 0.1469 0.6384
Ge 0.3615 0.2147 0.8531
Au 0.0000 0.5000 0.0000
Au 0.5000 0.5000 0.5000
Au 0.5000 0.0000 0.0000
Au 0.0000 0.0000 0.5000
Cs 0.0000 0.0000 0.0000

***

(2)
! YZn2CuMo (PBE, optimized geometry); values from VASP
! ΔH_f (0 K) in eV/atom: 1.746
&SYSTEM
  ibrav = 0, nat = 5, ntyp = 4
/
ATOMIC_SPECIES
Cu 63.55 Cu.upf
Zn 65.41 Zn.upf
Mo 95.94 Mo.upf
Y 88.91 Y.upf
CELL_PARAMETERS angstrom
-1.8514 -2.2381 4.4908
-1.0555 -4.1633 -2.5100
4.8876 -1.8870 1.0746
ATOMIC_POSITIONS crystal
Cu 0.5000 0.5000 0.5000
Zn 0.0000 0.0000 0.5000
Zn 0.5000 0.0000 0.0000
Mo 0.0000 0.5000 0.0000
Y 0.0000 0.0000 0.0000

***

(3)
! ErAl2CuAu4 (PBE, optimized geometry); values from VASP
! ΔH_f (0 K) in eV/atom: -0.483
&SYSTEM
  ibrav = 0, nat = 8, ntyp = 4
/
ATOMIC_SPECIES
Au 196.97 Au.upf
Al 26.98 Al.upf
Er 167.26 Er.upf
Cu 63.55 Cu.upf
CELL_PARAMETERS angstrom
4.4439 0.0000 0.0000
2.2220 3.8486 0.0000
2.2220 1.2829 8.4687
ATOMIC_POSITIONS crystal
Au 0.6056 0.6056 0.1831
Au 0.3944 0.3944 0.8169
Au 0.1307 0.1307 0.6078
Au 0.8693 0.8693 0.3922
Al 0.2407 0.2407 0.2778
Al 0.7593 0.7593 0.7222
Er 0.0000 0.0000 0.0000
Cu 0.5000 0.5000 0.5000

***

(4)
! Br3Cl (PBE, optimized geometry); values from VASP
! Formation energy without anion corrections in meV per atom: 363
&SYSTEM
  ibrav = 0, nat = 4, ntyp = 2
/
ATOMIC_SPECIES
Br 79.90 Br.upf
Cl 35.45 Cl.upf
CELL_PARAMETERS angstrom
1.9729 0.0000 11.8371
-0.9865 1.7086 11.8371
-0.9865 -1.7086 11.8371
ATOMIC_POSITIONS crystal
Br 0.0672 0.0672 0.0672
Br 0.9328 0.9328 0.9328
Br 0.5000 0.5000 0.5000
Cl 0.0000 0.0000 0.0000

***

(5)
! Mn3Cd2 (PBE, optimized geometry); values from VASP
! ΔH_f (0 K) in eV/atom: 0.463
&SYSTEM
  ibrav = 0, nat = 5, ntyp = 2
/
ATOMIC_SPECIES
Cd 112.41 Cd.upf
Mn 54.94 Mn.upf
CELL_PARAMETERS angstrom
7.6155 -1.8644 -0.5215
7.6155 1.8644 -0.5215
7.3796 0.0000 2.6990
ATOMIC_POSITIONS crystal
Cd 0.8776 0.8776 0.8776
Cd 0.1224 0.1224 0.1224
Mn 0.2957 0.2957 0.2957
Mn 0.7043 0.7043 0.7043
Mn 0.0000 0.0000 0.0000

***

(6)
! NbCd3Sb (PBE, optimized geometry); values from VASP
! Formation energy without anion corrections in meV per atom: 1222
&SYSTEM
  ibrav = 0, nat = 5, ntyp = 3
/
ATOMIC_SPECIES
Cd 112.41 Cd.upf
Nb 92.91 Nb.upf
Sb 121.76 Sb.upf
CELL_PARAMETERS angstrom
5.5002 0.0000 0.0000
0.0000 5.5002 0.0000
0.0000 0.0000 5.5002
ATOMIC_POSITIONS crystal
Cd 0.0000 0.5000 0.0000
Cd 0.0000 0.0000 0.5000
Cd 0.5000 0.0000 0.0000
Nb 0.5000 0.5000 0.5000
Sb 0.0000 0.0000 0.0000

***

Number 1: DFT total energy -4.09 eV per atom. Number 2: DFT total energy -3.04 eV per atom. Number 3: DFT total energy -4.14 eV per atom. Number 4: DFT total energy -1.35 eV per atom. Number 5: DFT total energy -5.40 eV per atom. Number 6: DFT total energy -2.17 eV per atom.